(1)
Here is InAs2RuBr after structural relaxation from the Alexandria database. Energies are from PBE.

## Properties
spin magnetization	0.00	Bohr magnetons per cell
uncorrected formation energy	0.199	eV/atom
DOS at the Fermi energy	4.6	states/eV per cell
E above lowest polymorph	0.00	eV/f.u.

Structure (POSCAR):
```
InAs2RuBr
1.0
4.744 0.000 0.000
0.000 4.744 0.000
0.000 0.000 5.671
In As Ru Br
1 2 1 1
Cartesian
0.000 0.000 0.000
0.000 2.372 2.835
2.372 0.000 2.835
2.372 2.372 2.835
2.372 2.372 0.000
```


(2)
Here is Pb2W after structural relaxation from the Alexandria database. Energies are from PBE.

## Properties
spin magnetization	6.29	Bohr magnetons per cell
ΔE_f	5.71	eV per formula unit
DOS at the Fermi energy	7.8	states/eV per cell
E above lowest polymorph	3.97	eV/f.u.

Structure (POSCAR):
```
Pb2W
1.0
0.000 4.360 4.360
4.360 0.000 4.360
4.360 4.360 0.000
Pb W
4 2
Cartesian
0.000 0.000 0.000
2.180 2.180 0.000
2.180 0.000 2.180
0.000 2.180 2.180
3.270 3.270 3.270
5.450 5.450 5.450
```


(3)
Here is BaEuIn after structural relaxation from the Alexandria database. Energies are from PBE.

## Properties
spin magnetization	7.22	Bohr magnetons per cell
ΔE_f	-0.55	eV per formula unit
DOS at the Fermi energy	11.9	states/eV per cell
E above lowest polymorph	0.34	eV/f.u.

Structure (POSCAR):
```
BaEuIn
1.0
0.000 4.093 4.093
4.093 0.000 4.093
4.093 4.093 0.000
Ba Eu In
1 1 1
Cartesian
0.000 0.000 0.000
4.093 4.093 4.093
2.046 2.046 2.046
```


(4)
Here is TaGeP2S after structural relaxation from the Alexandria database. Energies are from PBE.

## Properties
spin magnetization	0.00	Bohr magnetons per cell
uncorrected formation energy	0.298	eV/atom
DOS at the Fermi energy	2.4	states/eV per cell
E above lowest polymorph	0.00	eV/f.u.

Structure (POSCAR):
```
TaGeP2S
1.0
4.891 0.000 0.000
0.000 4.891 0.000
0.000 0.000 4.675
Ta Ge P S
1 1 2 1
Cartesian
0.000 0.000 0.000
2.445 2.445 2.337
0.000 2.445 0.000
2.445 0.000 0.000
0.000 0.000 2.337
```


> Which of these has the highest spin magnetization?

BaEuIn


> The highest E above lowest polymorph belongs to which entry?

Pb2W